Record 1
12
Lattice="5.495 0.000 0.000 2.747 4.759 0.000 2.747 1.586 8.924" Properties=species:S:1:pos:R:3 comment="Ce3ErZn8 (GGA-PBE, optimized geometry)" formation_enthalpy_0k_mev_per_atom=-283 sg=R3m polymorph_energy_ev_per_atom=0.000 total_energy_ev_per_atom=-3.00 pbc="T T T"
Ce 5.495 3.172 7.795
Ce 2.747 1.586 8.861
Ce 5.495 3.172 4.565
Er 8.242 4.759 3.313
Zn 6.862 2.383 1.705
Zn 6.884 5.543 6.105
Zn 4.128 2.383 1.705
Zn 9.600 5.543 6.105
Zn 2.747 1.586 3.908
Zn 8.242 4.759 8.360
Zn 5.495 4.751 1.705
Zn 8.242 3.190 6.105

=====

Record 2
12
Lattice="-0.023 4.400 -3.091 -2.821 4.325 1.500 6.072 5.986 3.798" Properties=species:S:1:pos:R:3 comment="Ce2ErZn9 (GGA-PBE, optimized geometry)" formation_enthalpy_0k_mev_per_atom=-256 sg=R-3m total_energy_ev_per_atom=-2.58 pbc="T T T"
Ce 0.259 10.085 0.323
Ce 2.969 4.625 1.885
Er 0.000 0.000 0.000
Zn -1.857 5.834 -1.036
Zn 5.085 8.877 3.244
Zn 1.614 7.355 1.104
Zn 0.275 5.087 0.251
Zn 0.263 7.312 -1.313
Zn -1.152 7.274 1.010
Zn 2.953 9.623 1.957
Zn 4.380 7.436 1.198
Zn 2.965 7.398 3.521

=====

Repeat the first record exactly.
12
Lattice="5.495 0.000 0.000 2.747 4.759 0.000 2.747 1.586 8.924" Properties=species:S:1:pos:R:3 comment="Ce3ErZn8 (GGA-PBE, optimized geometry)" formation_enthalpy_0k_mev_per_atom=-283 sg=R3m polymorph_energy_ev_per_atom=0.000 total_energy_ev_per_atom=-3.00 pbc="T T T"
Ce 5.495 3.172 7.795
Ce 2.747 1.586 8.861
Ce 5.495 3.172 4.565
Er 8.242 4.759 3.313
Zn 6.862 2.383 1.705
Zn 6.884 5.543 6.105
Zn 4.128 2.383 1.705
Zn 9.600 5.543 6.105
Zn 2.747 1.586 3.908
Zn 8.242 4.759 8.360
Zn 5.495 4.751 1.705
Zn 8.242 3.190 6.105